(1)
CdTcAu2: optimized geometry, GGA-PBE.

Cell lengths 9.727, 2.774, 5.256 Å; angles 90.00, 98.30, 90.00 degrees
Space group Cm (No. 8)
Unique sites:
Cd1 0.000 0.000 0.000 (multiplicity 2)
Tc1 0.247 0.500 0.266 (multiplicity 2)
Au1 0.247 0.000 0.758 (multiplicity 2)
Au2 0.491 0.000 0.484 (multiplicity 2)

Values from the calculation:
energy of formation: 270 meV/atom



(2)
Ac2Al2Ge: optimized geometry, GGA-PBE.

Cell lengths 3.930, 3.930, 18.869 Å; angles 90.00, 90.00, 90.00 degrees
Space group I4/mmm (No. 139)
Unique sites:
Ac1 0.000 0.000 0.095 (multiplicity 4)
Al1 0.000 0.500 0.250 (multiplicity 4)
Ge1 0.000 0.000 0.500 (multiplicity 2)

Values from the calculation:
energy of formation: -228 meV/atom
offset from the most stable computed form: 217 meV per atom



(3)
Sm3Te: optimized geometry, GGA-PBE.

Cell lengths 3.877, 10.528, 6.075 Å; angles 90.00, 90.00, 90.00 degrees
Space group Imm2 (No. 44)
Unique sites:
Sm1 0.000 0.000 0.000 (multiplicity 2)
Sm2 0.000 0.221 0.616 (multiplicity 4)
Te1 0.000 0.500 0.916 (multiplicity 2)

Values from the calculation:
offset from the most stable computed form: 118 meV per atom



(4)
Dy8Th3Sc3: optimized geometry, GGA-PBE.

Cell lengths 5.421, 9.750, 16.717 Å; angles 90.00, 90.00, 90.00 degrees
Space group Immm (No. 71)
Unique sites:
Dy1 0.000 0.155 0.197 (multiplicity 8)
Dy2 0.000 0.244 0.375 (multiplicity 8)
Th1 0.000 0.000 0.500 (multiplicity 2)
Th2 0.000 0.260 0.000 (multiplicity 4)
Sc1 0.000 0.500 0.167 (multiplicity 4)
Sc2 0.000 0.500 0.500 (multiplicity 2)

Values from the calculation:
energy of formation: 415 meV/atom



(5)
MgHg2Cl: optimized geometry, GGA-PBE.

Cell lengths 12.265, 3.537, 8.492 Å; angles 90.00, 132.12, 90.00 degrees
Space group Cm (No. 8)
Unique sites:
Mg1 0.000 0.000 0.000 (multiplicity 2)
Hg1 0.261 0.500 0.241 (multiplicity 2)
Hg2 0.476 0.000 0.257 (multiplicity 2)
Cl1 0.369 0.000 0.734 (multiplicity 2)

Values from the calculation:
offset from the most stable computed form: 64 meV per atom



(6)
Er3Sc2Tl: optimized geometry, GGA-PBE.

Cell lengths 6.441, 10.825, 9.403 Å; angles 90.00, 92.01, 90.00 degrees
Space group C2/c (No. 15)
Unique sites:
Er1 0.000 0.113 0.250 (multiplicity 4)
Er2 0.164 0.159 0.617 (multiplicity 8)
Sc1 0.172 0.385 0.048 (multiplicity 8)
Tl1 0.000 0.425 0.750 (multiplicity 4)

Values from the calculation:
energy of formation: -81 meV/atom